LaSiPbO2 | PBE | optimized geometry

Cell and atoms, written as CIF:
```
data_LaSiPbO2
_cell_length_a 4.296
_cell_length_b 4.296
_cell_length_c 8.633
_cell_angle_alpha 90.00
_cell_angle_beta 90.00
_cell_angle_gamma 90.00
_symmetry_space_group_name_H-M 'P 4/m m m'
_symmetry_Int_Tables_number 123
_symmetry_space_group_name_Hall '-P 4 2'
loop_
_atom_site_label
_atom_site_type_symbol
_atom_site_fract_x
_atom_site_fract_y
_atom_site_fract_z
La1 La 0.000 0.000 0.000
Si1 Si 0.500 0.500 0.500
Pb1 Pb 0.000 0.000 0.500
O1 O 0.000 0.500 0.000
```

Values from the calculation:
* spin magnetization: 0.001 μB per formula unit
* ΔE_f (raw): -0.730 eV per atom



Sr5InAg4 | PBE | optimized geometry

Cell and atoms, written as CIF:
```
data_Sr5InAg4
_cell_length_a 3.965
_cell_length_b 3.965
_cell_length_c 19.835
_cell_angle_alpha 90.00
_cell_angle_beta 90.00
_cell_angle_gamma 90.00
_symmetry_space_group_name_H-M 'P 4/m m m'
_symmetry_Int_Tables_number 123
_symmetry_space_group_name_Hall '-P 4 2'
loop_
_atom_site_label
_atom_site_type_symbol
_atom_site_fract_x
_atom_site_fract_y
_atom_site_fract_z
Sr1 Sr 0.000 0.000 0.000
Sr2 Sr 0.000 0.000 0.196
Sr3 Sr 0.000 0.000 0.394
In1 In 0.500 0.500 0.500
Ag1 Ag 0.500 0.500 0.098
Ag2 Ag 0.500 0.500 0.294
```

Values from the calculation:
* calculated formation energy: -295 meV/atom
* spin magnetization: 0.000 μB per formula unit



Sr3Cd2Au3 | PBE | optimized geometry

Cell and atoms, written as CIF:
```
data_Sr3Cd2Au3
_cell_length_a 9.2278
_cell_length_b 9.2278
_cell_length_c 6.2384
_cell_angle_alpha 90.00
_cell_angle_beta 90.00
_cell_angle_gamma 120.00
_symmetry_space_group_name_H-M 'P 63/m c m'
_symmetry_Int_Tables_number 193
_symmetry_space_group_name_Hall '-P 6c 2'
loop_
_atom_site_label
_atom_site_type_symbol
_atom_site_fract_x
_atom_site_fract_y
_atom_site_fract_z
Sr1 Sr 0.0000 0.2877 0.2500
Cd1 Cd 0.3333 0.6667 0.0000
Au1 Au 0.0000 0.3782 0.7500
```

Values from the calculation:
* calculated formation energy: -572 meV/atom
* spin magnetization: 0.000 μB per formula unit



AgTe2 | PBE | optimized geometry

Cell and atoms, written as CIF:
```
data_AgTe2
_cell_length_a 13.879
_cell_length_b 3.114
_cell_length_c 8.744
_cell_angle_alpha 90.00
_cell_angle_beta 105.39
_cell_angle_gamma 90.00
_symmetry_space_group_name_H-M 'C 1 m 1'
_symmetry_Int_Tables_number 8
loop_
_symmetry_equiv_pos_as_xyz
'x,y,z'
'x,-y,z'
'x+1/2,y+1/2,z'
'x+1/2,-y+1/2,z'
loop_
_atom_site_label
_atom_site_type_symbol
_atom_site_fract_x
_atom_site_fract_y
_atom_site_fract_z
Ag1 Ag 0.000 0.000 0.000
Ag2 Ag 0.210 0.500 0.139
Te1 Te 0.106 0.500 0.813
Te2 Te 0.163 0.000 0.406
Te3 Te 0.366 0.000 0.610
Te4 Te 0.404 0.000 0.200
```

Values from the calculation:
* spin magnetization: 0.000 μB per formula unit
* ΔE_f (raw): 0.044 eV per atom



MnVPb3 | PBE | optimized geometry

Cell and atoms, written as CIF:
```
data_MnVPb3
_cell_length_a 5.192
_cell_length_b 5.192
_cell_length_c 5.192
_cell_angle_alpha 90.00
_cell_angle_beta 90.00
_cell_angle_gamma 90.00
_symmetry_space_group_name_H-M 'P m -3 m'
_symmetry_Int_Tables_number 221
_symmetry_space_group_name_Hall '-P 4 2 3'
loop_
_atom_site_label
_atom_site_type_symbol
_atom_site_fract_x
_atom_site_fract_y
_atom_site_fract_z
Mn1 Mn 0.000 0.000 0.000
V1 V 0.500 0.500 0.500
Pb1 Pb 0.000 0.000 0.500
```

Values from the calculation:
* calculated formation energy: 807 meV/atom
* spin magnetization: 6.576 μB per formula unit



Sr14MnSb11 | PBE | optimized geometry

Cell and atoms, written as CIF:
```
data_Sr14MnSb11
_cell_length_a 17.668
_cell_length_b 17.668
_cell_length_c 23.262
_cell_angle_alpha 90.00
_cell_angle_beta 90.00
_cell_angle_gamma 90.00
_symmetry_space_group_name_H-M 'I 41/a c d'
_symmetry_Int_Tables_number 142
loop_
_symmetry_equiv_pos_as_xyz
'x,y,z'
'-x,-y,-z'
'-y+1/4,x+3/4,z+1/4'
'y+1/4,-x+3/4,-z+1/4'
'-x+1/2,-y,z+1/2'
'x+1/2,y,-z+1/2'
'y+1/4,-x+1/4,z+3/4'
'-y+1/4,x+1/4,-z+3/4'
'x,-y,-z+1/2'
'-x,y,z+1/2'
'-y+1/4,-x+1/4,-z+1/4'
'y+1/4,x+1/4,z+1/4'
'-x+1/2,y,-z'
'x+1/2,-y,z'
'y+1/4,x+3/4,-z+3/4'
'-y+1/4,-x+3/4,z+3/4'
'x+1/2,y+1/2,z+1/2'
'-x+1/2,-y+1/2,-z+1/2'
'-y+3/4,x+1/4,z+3/4'
'y+3/4,-x+1/4,-z+3/4'
'-x,-y+1/2,z'
'x,y+1/2,-z'
'y+3/4,-x+3/4,z+1/4'
'-y+3/4,x+3/4,-z+1/4'
'x+1/2,-y+1/2,-z'
'-x+1/2,y+1/2,z'
'-y+3/4,-x+3/4,-z+3/4'
'y+3/4,x+3/4,z+3/4'
'-x,y+1/2,-z+1/2'
'x,-y+1/2,z+1/2'
'y+3/4,x+1/4,-z+1/4'
'-y+3/4,-x+1/4,z+1/4'
loop_
_atom_site_label
_atom_site_type_symbol
_atom_site_fract_x
_atom_site_fract_y
_atom_site_fract_z
Sr1 Sr 0.022 0.124 0.001
Sr2 Sr 0.044 0.073 0.672
Sr3 Sr 0.143 0.000 0.250
Sr4 Sr 0.158 0.068 0.407
Mn1 Mn 0.000 0.250 0.375
Sb1 Sb 0.000 0.250 0.125
Sb2 Sb 0.003 0.115 0.314
Sb3 Sb 0.131 0.025 0.547
Sb4 Sb 0.132 0.118 0.125
```

Values from the calculation:
* spin magnetization: 4.029 μB per formula unit
* ΔE_f (raw): -0.999 eV per atom



What is the formula in the sixth record?
Sr14MnSb11